(1)
A plane-wave DFT calculation with PBE was carried out for a geometry-optimized LiMn2GeC structure.

Results
theoretical density = 5.98 g cm⁻³
magnetic moment = 2.88 μB/cell
V = 55.9 Å³/cell
final energy = -6.847 eV/atom
calculated formation energy = -29 meV per atom
crystal system = tetragonal

Lattice parameters (Å, degrees): 3.795 3.795 3.885 90.00 90.00 90.00
Positions (direct):
Li 0.000 0.000 0.000
Mn 0.000 0.500 0.500
Mn 0.500 0.000 0.500
Ge 0.500 0.500 0.000
C 0.000 0.000 0.500


(2)
A plane-wave DFT calculation with PBE was carried out for a geometry-optimized TaPS2N structure.

Results
theoretical density = 6.29 g cm⁻³
magnetic moment = 0.00 μB/cell
V = 76.5 Å³/cell
final energy = -5.856 eV/atom
crystal system = tetragonal

Lattice parameters (Å, degrees): 4.335 4.335 4.073 90.00 90.00 90.00
Positions (direct):
Ta 0.000 0.000 0.000
P 0.500 0.500 0.000
S 0.000 0.500 0.500
S 0.500 0.000 0.500
N 0.000 0.000 0.500


(3)
A plane-wave DFT calculation with PBE was carried out for a geometry-optimized Cs2Hg2Te3 structure.

Results
theoretical density = 4.02 g cm⁻³
magnetic moment = 0.00 μB/cell
V = 868.2 Å³/cell
final energy = -2.249 eV/atom
crystal system = cubic

Lattice parameters (Å, degrees): 10.409 10.409 10.409 109.47 109.47 109.47
Positions (direct):
Cs 0.000 0.480 0.500
Cs 0.020 0.020 0.020
Cs 0.480 0.500 0.000
Cs 0.500 0.000 0.480
Hg 0.000 0.129 0.500
Hg 0.129 0.500 0.000
Hg 0.371 0.371 0.371
Hg 0.500 0.000 0.129
Te 0.188 0.750 0.938
Te 0.250 0.562 0.312
Te 0.312 0.250 0.562
Te 0.562 0.312 0.250
Te 0.750 0.938 0.188
Te 0.938 0.188 0.750


- final energy of number 1 (LiMn2GeC)?
  -6.847 eV/atom